Arrangement w

This record from the Alexandria database describes KRbAu after structural relaxation. The functional is PBE.

Density of states at the Fermi level in states/eV/cell: 4.194
Spin magnetization in μB per formula unit: 0.0

```
data_KRbAu
_chemical_formula_sum 'K2 Rb2 Au2'
_space_group_name_H-M_alt 'I 4 m m'
_space_group_IT_number 107
_space_group_name_Hall 'I 4 -2'
_cell_length_a 4.194
_cell_length_b 4.194
_cell_length_c 16.037
_cell_angle_alpha 90.00
_cell_angle_beta 90.00
_cell_angle_gamma 90.00
loop_
_atom_site_label
_atom_site_type_symbol
_atom_site_fract_x
_atom_site_fract_y
_atom_site_fract_z
_atom_site_occupancy
K1 K 0.000 0.000 0.000 1
Rb1 Rb 0.000 0.000 0.760 1
Au1 Au 0.000 0.000 0.388 1
```

Arrangement x

This record from the Alexandria database describes KRbAu after structural relaxation. The functional is PBE.

Density of states at the Fermi level in states/eV/cell: 9.986
Spin magnetization in μB per formula unit: 0.6

```
data_KRbAu
_chemical_formula_sum 'K4 Rb4 Au4'
_space_group_name_H-M_alt 'F -4 3 m'
_space_group_IT_number 216
_space_group_name_Hall 'F -4 2 3'
_cell_length_a 8.230
_cell_length_b 8.230
_cell_length_c 8.230
_cell_angle_alpha 90.00
_cell_angle_beta 90.00
_cell_angle_gamma 90.00
loop_
_atom_site_label
_atom_site_type_symbol
_atom_site_fract_x
_atom_site_fract_y
_atom_site_fract_z
_atom_site_occupancy
K1 K 0.000 0.000 0.000 1
Rb1 Rb 0.000 0.000 0.500 1
Au1 Au 0.250 0.250 0.750 1
```

Which one sits at the bottom of the stability order? arrangement x does.

Arrangement w

This record from the Alexandria database describes KRbAu after structural relaxation. The functional is PBE.

Density of states at the Fermi level in states/eV/cell: 0.382
Spin magnetization in μB per formula unit: 0.0

```
data_KRbAu
_chemical_formula_sum 'K2 Rb2 Au2'
_space_group_name_H-M_alt 'P -6 m 2'
_space_group_IT_number 187
_space_group_name_Hall 'P -6 2'
_cell_length_a 5.7498
_cell_length_b 5.7498
_cell_length_c 10.0941
_cell_angle_alpha 90.00
_cell_angle_beta 90.00
_cell_angle_gamma 120.00
loop_
_atom_site_label
_atom_site_type_symbol
_atom_site_fract_x
_atom_site_fract_y
_atom_site_fract_z
_atom_site_occupancy
K1 K 0.0000 0.0000 0.0000 1
K2 K 0.3333 0.6667 0.5000 1
Rb1 Rb 0.6667 0.3333 0.2403 1
Au1 Au 0.3333 0.6667 0.1394 1
```

Arrangement x

This record from the Alexandria database describes KRbAu after structural relaxation. The functional is PBE.

Density of states at the Fermi level in states/eV/cell: 4.444
Spin magnetization in μB per formula unit: 0.0

```
data_KRbAu
_chemical_formula_sum 'K4 Rb4 Au4'
_space_group_name_H-M_alt 'C 1 2/m 1'
_space_group_IT_number 12
_space_group_name_Hall '-C 2y'
_cell_length_a 22.224
_cell_length_b 4.258
_cell_length_c 5.951
_cell_angle_alpha 90.00
_cell_angle_beta 90.06
_cell_angle_gamma 90.00
loop_
_atom_site_label
_atom_site_type_symbol
_atom_site_fract_x
_atom_site_fract_y
_atom_site_fract_z
_atom_site_occupancy
K1 K 0.190 0.000 0.251 1
Rb1 Rb 0.061 0.000 0.750 1
Au1 Au 0.071 0.500 0.251 1
```

Which one sits at the bottom of the stability order? arrangement w does.

Arrangement w

This record from the Alexandria database describes K3RbAu8 after structural relaxation. The functional is PBE.

Density of states at the Fermi level in states/eV/cell: 5.640
Spin magnetization in μB per formula unit: 0.0

```
data_K3RbAu8
_chemical_formula_sum 'K9 Rb3 Au24'
_space_group_name_H-M_alt 'R 3 m'
_space_group_IT_number 160
_space_group_name_Hall 'R 3 -2"'
_cell_length_a 5.8288
_cell_length_b 5.8288
_cell_length_c 29.0605
_cell_angle_alpha 90.00
_cell_angle_beta 90.00
_cell_angle_gamma 120.00
loop_
_atom_site_label
_atom_site_type_symbol
_atom_site_fract_x
_atom_site_fract_y
_atom_site_fract_z
_atom_site_occupancy
K1 K 0.0000 0.0000 0.0000 1
K2 K 0.0000 0.0000 0.1248 1
K3 K 0.0000 0.0000 0.4996 1
Rb1 Rb 0.0000 0.0000 0.6253 1
Au1 Au 0.0000 0.0000 0.3126 1
Au2 Au 0.0000 0.0000 0.8123 1
Au3 Au 0.0013 0.5007 0.0635 1
Au4 Au 0.1672 0.3343 0.8946 1
```

Arrangement x

This record from the Alexandria database describes K3RbAu8 after structural relaxation. The functional is PBE.

Density of states at the Fermi level in states/eV/cell: 2.803
Spin magnetization in μB per formula unit: 0.0

```
data_K3RbAu8
_chemical_formula_sum 'K3 Rb1 Au8'
_space_group_name_H-M_alt 'P 3 m 1'
_space_group_IT_number 156
_space_group_name_Hall 'P 3 -2"'
_cell_length_a 5.7946
_cell_length_b 5.7946
_cell_length_c 9.9000
_cell_angle_alpha 90.00
_cell_angle_beta 90.00
_cell_angle_gamma 120.00
loop_
_atom_site_label
_atom_site_type_symbol
_atom_site_fract_x
_atom_site_fract_y
_atom_site_fract_z
_atom_site_occupancy
K1 K 0.0000 0.0000 0.0000 1
K2 K 0.0000 0.0000 0.3741 1
K3 K 0.3333 0.6667 0.8765 1
Rb1 Rb 0.3333 0.6667 0.4997 1
Au1 Au 0.0013 0.5007 0.1842 1
Au2 Au 0.3317 0.1658 0.6915 1
Au3 Au 0.6667 0.3333 0.4367 1
Au4 Au 0.6667 0.3333 0.9376 1
```

Which one sits at the bottom of the stability order? arrangement w does.

Arrangement w

This record from the Alexandria database describes K2Rb4Au after structural relaxation. The functional is PBE.

Density of states at the Fermi level in states/eV/cell: 11.397
Spin magnetization in μB per formula unit: 0.0

```
data_K2Rb4Au
_chemical_formula_sum 'K4 Rb8 Au2'
_space_group_name_H-M_alt 'C 1 2/m 1'
_space_group_IT_number 12
_space_group_name_Hall '-C 2y'
_cell_length_a 16.640
_cell_length_b 6.792
_cell_length_c 9.064
_cell_angle_alpha 90.00
_cell_angle_beta 113.85
_cell_angle_gamma 90.00
loop_
_atom_site_label
_atom_site_type_symbol
_atom_site_fract_x
_atom_site_fract_y
_atom_site_fract_z
_atom_site_occupancy
K1 K 0.198 0.000 0.307 1
Rb1 Rb 0.024 0.500 0.238 1
Rb2 Rb 0.145 0.000 0.791 1
Au1 Au 0.000 0.000 0.000 1
```

Arrangement x

This record from the Alexandria database describes K2Rb4Au after structural relaxation. The functional is PBE.

Density of states at the Fermi level in states/eV/cell: 10.936
Spin magnetization in μB per formula unit: 0.0

```
data_K2Rb4Au
_chemical_formula_sum 'K4 Rb8 Au2'
_space_group_name_H-M_alt 'I 4/m m m'
_space_group_IT_number 139
_space_group_name_Hall '-I 4 2'
_cell_length_a 6.817
_cell_length_b 6.817
_cell_length_c 22.825
_cell_angle_alpha 90.00
_cell_angle_beta 90.00
_cell_angle_gamma 90.00
loop_
_atom_site_label
_atom_site_type_symbol
_atom_site_fract_x
_atom_site_fract_y
_atom_site_fract_z
_atom_site_occupancy
K1 K 0.000 0.000 0.152 1
Rb1 Rb 0.000 0.000 0.347 1
Rb2 Rb 0.000 0.500 0.000 1
Au1 Au 0.000 0.000 0.500 1
```

Which one sits at the bottom of the stability order? arrangement x does.